A geometry-optimized K3Ag4 structure, computed with PBE.

## Properties
Energy above the lowest structure with this stoichiometry, eV/atom: 0.1835
Spin magnetization, μB per atom: 0.000
Space-group type: No. 191

a b c (Å): 7.664 7.664 5.279
angles (deg): 90.00 90.00 120.00
Fractional coordinates of all 7 atoms:
K 0.000 0.500 0.000
K 0.500 0.500 0.000
K 0.500 0.000 0.000
Ag 0.000 0.000 0.250
Ag 0.000 0.000 0.750
Ag 0.667 0.333 0.500
Ag 0.333 0.667 0.500

***

A geometry-optimized KAg structure, computed with PBE.

## Properties
Energy above the lowest structure with this stoichiometry, eV/atom: 0.1291
Spin magnetization, μB per atom: 0.000
Space-group type: No. 225

a b c (Å): 4.936 4.936 4.936
angles (deg): 60.00 60.00 60.00
Fractional coordinates of all 2 atoms:
K 0.500 0.500 0.500
Ag 0.000 0.000 0.000

***

A geometry-optimized K2Ag structure, computed with PBE.

## Properties
Spin magnetization, μB per atom: 0.000
DFT total energy, eV/atom: -1.631
Space-group type: No. 189

a b c (Å): 9.409 9.409 5.088
angles (deg): 90.00 90.00 120.00
Fractional coordinates of all 9 atoms:
Ag 0.333 0.667 0.000
Ag 0.667 0.333 0.000
Ag 0.000 0.000 0.500
K 0.258 0.000 0.000
K 0.000 0.258 0.000
K 0.742 0.742 0.000
K 0.590 0.000 0.500
K 0.000 0.590 0.500
K 0.410 0.410 0.500

***

A geometry-optimized K3Ag5 structure, computed with PBE.

## Properties
Spin magnetization, μB per atom: 0.000
DFT total energy, eV/atom: -2.069
Space-group type: No. 193

a b c (Å): 10.789 10.789 5.239
angles (deg): 90.00 90.00 120.00
Fractional coordinates of all 16 atoms:
K 0.633 0.000 0.250
K 0.367 0.000 0.750
K 0.000 0.633 0.250
K 0.367 0.367 0.250
K 0.633 0.633 0.750
K 0.000 0.367 0.750
Ag 0.333 0.667 0.000
Ag 0.667 0.333 0.500
Ag 0.667 0.333 0.000
Ag 0.333 0.667 0.500
Ag 0.149 0.000 0.250
Ag 0.851 0.000 0.750
Ag 0.000 0.149 0.250
Ag 0.851 0.851 0.250
Ag 0.149 0.149 0.750
Ag 0.000 0.851 0.750

***

What is the spin magnetization in the second record?
0.000 μB per atom